(1)
! GGA-PBE Tb6In5Au, relaxed; values from VASP
! - Formation enthalpy at 0 K: -0.5148 eV per atom
! - SG: Cmmm (65)
! - Fermi-level density of states: 0.94 states/eV per atom
! - Spin magnetization: 0.000 μB/cell
! - Crystal system: orthorhombic
&SYSTEM
  ibrav = 0, nat = 12, ntyp = 3
/
ATOMIC_SPECIES
Tb 158.93 Tb.upf
In 114.82 In.upf
Au 196.97 Au.upf
ATOMIC_POSITIONS crystal
Tb 0.000 0.000 0.241
Tb 0.000 0.000 0.759
Tb 0.338 0.662 0.246
Tb 0.338 0.662 0.754
Tb 0.662 0.338 0.246
Tb 0.662 0.338 0.754
In 0.169 0.831 0.000
In 0.169 0.831 0.500
In 0.500 0.500 0.500
In 0.831 0.169 0.000
In 0.831 0.169 0.500
Au 0.500 0.500 0.000
CELL_PARAMETERS angstrom
2.644 -7.946 0.000
2.644 7.946 0.000
0.000 0.000 7.555

***

(2)
! GGA-PBE Sc2VSi2Tc5, relaxed; values from VASP
! - SG: P4/mbm (127)
! - Formation energy (no corrections): -0.412 eV per atom
! - Fermi-level density of states: 1.19 states/eV per atom
! - Spin magnetization: 0.001 μB/cell
! - Crystal system: tetragonal
&SYSTEM
  ibrav = 0, nat = 20, ntyp = 4
/
ATOMIC_SPECIES
Sc 44.96 Sc.upf
V 50.94 V.upf
Si 28.09 Si.upf
Tc 98.00 Tc.upf
ATOMIC_POSITIONS crystal
Sc 0.168 0.332 0.000
Sc 0.332 0.832 0.000
Sc 0.668 0.168 0.000
Sc 0.832 0.668 0.000
V 0.000 0.000 0.000
V 0.500 0.500 0.000
Si 0.131 0.631 0.000
Si 0.369 0.131 0.000
Si 0.631 0.869 0.000
Si 0.869 0.369 0.000
Tc 0.000 0.500 0.500
Tc 0.066 0.806 0.500
Tc 0.194 0.066 0.500
Tc 0.306 0.566 0.500
Tc 0.434 0.306 0.500
Tc 0.500 0.000 0.500
Tc 0.566 0.694 0.500
Tc 0.694 0.434 0.500
Tc 0.806 0.934 0.500
Tc 0.934 0.194 0.500
CELL_PARAMETERS angstrom
9.743 0.000 0.000
0.000 9.743 0.000
0.000 0.000 3.251

***

(3)
! GGA-PBE La3Ni13B2, relaxed; values from VASP
! - Formation enthalpy at 0 K: -0.3678 eV per atom
! - SG: P6/mmm (191)
! - Fermi-level density of states: 0.84 states/eV per atom
! - Spin magnetization: 1.268 μB/cell
! - Crystal system: hexagonal
&SYSTEM
  ibrav = 0, nat = 18, ntyp = 3
/
ATOMIC_SPECIES
La 138.91 La.upf
Ni 58.69 Ni.upf
B 10.81 B.upf
ATOMIC_POSITIONS crystal
La 0.000 0.000 0.000
La 0.000 0.000 0.329
La 0.000 0.000 0.671
Ni 0.000 0.500 0.132
Ni 0.000 0.500 0.500
Ni 0.000 0.500 0.868
Ni 0.333 0.667 0.319
Ni 0.333 0.667 0.681
Ni 0.500 0.000 0.132
Ni 0.500 0.000 0.500
Ni 0.500 0.000 0.868
Ni 0.500 0.500 0.132
Ni 0.500 0.500 0.500
Ni 0.500 0.500 0.868
Ni 0.667 0.333 0.319
Ni 0.667 0.333 0.681
B 0.333 0.667 0.000
B 0.667 0.333 0.000
CELL_PARAMETERS angstrom
5.072 0.000 0.000
-2.536 4.393 0.000
0.000 0.000 10.973

***

(4)
! GGA-PBE BaSr2CuF, relaxed; values from VASP
! - SG: P4/mmm (123)
! - Formation energy (no corrections): -0.465 eV per atom
! - Fermi-level density of states: 0.67 states/eV per atom
! - Spin magnetization: 0.000 μB/cell
! - Crystal system: tetragonal
&SYSTEM
  ibrav = 0, nat = 5, ntyp = 4
/
ATOMIC_SPECIES
Ba 137.33 Ba.upf
Sr 87.62 Sr.upf
Cu 63.55 Cu.upf
F 19.00 F.upf
ATOMIC_POSITIONS crystal
Ba 0.000 0.000 0.000
Sr 0.000 0.500 0.500
Sr 0.500 0.000 0.500
Cu 0.000 0.000 0.500
F 0.500 0.500 0.000
CELL_PARAMETERS angstrom
5.840 0.000 0.000
0.000 5.840 0.000
0.000 0.000 6.381

***

(5)
! GGA-PBE BSb2OsC, relaxed; values from VASP
! - SG: P4/mmm (123)
! - Formation energy (no corrections): 0.855 eV per atom
! - Fermi-level density of states: 0.58 states/eV per atom
! - Spin magnetization: 0.000 μB/cell
! - Crystal system: tetragonal
&SYSTEM
  ibrav = 0, nat = 5, ntyp = 4
/
ATOMIC_SPECIES
B 10.81 B.upf
Sb 121.76 Sb.upf
Os 190.23 Os.upf
C 12.01 C.upf
ATOMIC_POSITIONS crystal
B 0.000 0.000 0.000
Sb 0.000 0.500 0.500
Sb 0.500 0.000 0.500
Os 0.500 0.500 0.000
C 0.000 0.000 0.500
CELL_PARAMETERS angstrom
5.053 0.000 0.000
0.000 5.053 0.000
0.000 0.000 2.972

***

(6)
! GGA-PBE BeB2PbCl, relaxed; values from VASP
! - SG: P4/mmm (123)
! - Formation energy (no corrections): 1.786 eV per atom
! - Fermi-level density of states: 0.37 states/eV per atom
! - Spin magnetization: 0.000 μB/cell
! - Crystal system: tetragonal
&SYSTEM
  ibrav = 0, nat = 5, ntyp = 4
/
ATOMIC_SPECIES
Be 9.01 Be.upf
B 10.81 B.upf
Pb 207.20 Pb.upf
Cl 35.45 Cl.upf
ATOMIC_POSITIONS crystal
Be 0.000 0.000 0.000
B 0.000 0.500 0.500
B 0.500 0.000 0.500
Pb 0.500 0.500 0.000
Cl 0.000 0.000 0.500
CELL_PARAMETERS angstrom
4.641 0.000 0.000
0.000 4.641 0.000
0.000 0.000 3.919

***

(7)
! GGA-PBE TaGaC2, relaxed; values from VASP
! - Formation enthalpy at 0 K: 0.3104 eV per atom
! - SG: I-42d (122)
! - Fermi-level density of states: 0.00 states/eV per atom
! - Spin magnetization: 0.000 μB/cell
! - Crystal system: tetragonal
&SYSTEM
  ibrav = 0, nat = 16, ntyp = 3
/
ATOMIC_SPECIES
Ta 180.95 Ta.upf
Ga 69.72 Ga.upf
C 12.01 C.upf
ATOMIC_POSITIONS crystal
Ta 0.000 0.000 0.000
Ta 0.000 0.500 0.250
Ta 0.500 0.000 0.750
Ta 0.500 0.500 0.500
Ga 0.000 0.000 0.500
Ga 0.000 0.500 0.750
Ga 0.500 0.000 0.250
Ga 0.500 0.500 0.000
C 0.246 0.250 0.125
C 0.250 0.746 0.375
C 0.250 0.754 0.875
C 0.254 0.250 0.625
C 0.746 0.750 0.625
C 0.750 0.246 0.875
C 0.750 0.254 0.375
C 0.754 0.750 0.125
CELL_PARAMETERS angstrom
4.795 0.000 0.000
0.000 4.795 0.000
0.000 0.000 9.572